Below is a geometry-optimized BiSbTe2I structure, with properties calculated at the GGA-PBE level.

**Uncorrected formation energy**: 433 meV/atom
**Total magnetic moment**: 0.048 μB per atom

CIF file:
```
data_BiSbTe2I
_chemical_formula_sum 'Bi1 Sb1 Te2 I1'
_cell_length_a 5.814
_cell_length_b 5.814
_cell_length_c 5.723
_cell_angle_alpha 90.00
_cell_angle_beta 90.00
_cell_angle_gamma 90.00
_symmetry_space_group_name_H-M 'P 4/m m m'
_symmetry_Int_Tables_number 123
_symmetry_space_group_name_Hall '-P 4 2'
loop_
_atom_site_label
_atom_site_fract_x
_atom_site_fract_y
_atom_site_fract_z
_atom_site_occupancy
Bi1 0.000 0.000 0.000 1
Sb1 0.500 0.500 0.500 1
Te1 0.000 0.500 0.500 1
I1 0.500 0.500 0.000 1
```